1.
Material: MoOs2W
Method: DFT, PBE-GGA
State: optimized geometry

Total moment = 0.0000 μB per atom
Energy = -11.2345 eV per atom
Offset from the most stable computed form = 1.05 eV/f.u.
DFT formation energy = 0.33 eV/atom
DOS(E_F) = 3.9 states/eV/f.u.
Crystal system = tetragonal
Calculated density = 17.6 g/cm³

a b c (Å): 3.227 3.227 5.973
angles (deg): 90.00 90.00 90.00
Fractional positions:
1 Os 0.000 0.000 0.977
2 Os 0.500 0.500 0.270
3 Mo 0.500 0.500 0.767
4 W 0.000 0.000 0.487



2.
Material: CrBr3
Method: DFT, PBE-GGA
State: optimized geometry

E_form (uncorrected) = -289 meV/atom
Total moment = 0.7500 μB per atom
Energy = -3.9499 eV per atom
DOS(E_F) = 6.9 states/eV/f.u.
Crystal system = trigonal
Calculated density = 4.1 g/cm³

a b c (Å): 10.420 10.420 10.420
angles (deg): 20.31 20.31 20.31
Site moments in Bohr magnetons follow the coordinates.
Fractional positions:
1 Cr 0.500 0.500 0.500  3.50
2 Br 0.000 0.000 0.000  -0.57
3 Br 0.117 0.117 0.117  -0.04
4 Br 0.883 0.883 0.883  -0.04



3.
Material: Ac2SmBi3Rh4
Method: DFT, PBE-GGA
State: optimized geometry

Total moment = 0.0017 μB per atom
Energy = -6.0089 eV per atom
DFT formation energy = -0.61 eV/atom
DOS(E_F) = 8.5 states/eV/f.u.
Crystal system = tetragonal
Calculated density = 10.9 g/cm³

a b c (Å): 4.666 4.666 11.540
angles (deg): 90.00 90.00 90.00
Fractional positions:
1 Ac 0.500 0.000 0.229
2 Ac 0.000 0.500 0.771
3 Rh 0.500 0.000 0.643
4 Rh 0.000 0.500 0.357
5 Rh 0.000 0.000 0.000
6 Rh 0.500 0.500 0.000
7 Bi 0.500 0.000 0.875
8 Bi 0.000 0.500 0.125
9 Bi 0.000 0.000 0.500
10 Sm 0.500 0.500 0.500



4.
Material: Ho5Te2Pb2
Method: DFT, PBE-GGA
State: optimized geometry

E_form (uncorrected) = -619 meV/atom
Total moment = 0.0002 μB per atom
Energy = -4.6842 eV per atom
Offset from the most stable computed form = 1.76 eV/f.u.
DOS(E_F) = 6.2 states/eV/f.u.
Crystal system = orthorhombic
Calculated density = 9.1 g/cm³

a b c (Å): 7.737 8.168 10.322
angles (deg): 113.31 112.01 90.00
Fractional positions:
1 Te 0.000 0.970 0.000
2 Te 0.707 0.919 0.500
3 Te 0.293 0.419 0.500
4 Te 0.500 0.470 0.000
5 Ho 0.478 0.194 0.690
6 Ho 0.830 0.293 0.111
7 Ho 0.781 0.793 0.111
8 Ho 0.219 0.682 0.889
9 Ho 0.073 0.756 0.500
10 Ho 0.170 0.182 0.889
11 Ho 0.927 0.256 0.500
12 Ho 0.522 0.504 0.310
13 Ho 0.712 0.694 0.690
14 Ho 0.288 0.004 0.310
15 Pb 0.542 0.098 0.176
16 Pb 0.866 0.421 0.824
17 Pb 0.134 0.598 0.176
18 Pb 0.458 0.921 0.824